1.
{
  "formula": "ZnCdFe2",
  "functional": "PBE-GGA",
  "state": "relaxed",
  "lattice_angstrom": [[-0.046, -4.207, -0.628], [2.544, -0.159, 0.881], [-1.264, -0.716, 4.894]],
  "species": ["Cd", "Fe", "Fe", "Zn"],
  "frac_coords": [[0.500, 0.657, 0.771], [0.000, 0.070, 0.016], [0.500, 0.192, 0.261], [0.000, 0.580, 0.452]],
  "formation_energy_ev_per_atom": 0.211,
  "energy_ev_per_atom": -4.568
}

2.
{
  "formula": "SrAlCu2As",
  "functional": "PBE-GGA",
  "state": "relaxed",
  "lattice_angstrom": [[-2.166, -3.896, 0.982], [3.555, -0.782, 4.738], [-2.961, 2.302, 2.602]],
  "species": ["Sr", "As", "Al", "Cu", "Cu"],
  "frac_coords": [[0.000, 0.500, 0.000], [0.500, 0.500, 0.500], [0.000, 0.000, 0.000], [0.000, 0.000, 0.500], [0.500, 0.000, 0.000]],
  "formation_energy_ev_per_atom": 0.385,
  "energy_ev_per_atom": -3.268
}

3.
{
  "formula": "TiTcB2",
  "functional": "PBE-GGA",
  "state": "relaxed",
  "lattice_angstrom": [[3.097, 0.000, 0.000], [1.549, 2.682, 0.000], [1.549, 0.894, 5.226]],
  "species": ["B", "B", "Tc", "Ti"],
  "frac_coords": [[0.252, 0.252, 0.243], [0.748, 0.748, 0.757], [0.000, 0.000, 0.000], [0.500, 0.500, 0.500]],
  "formation_energy_ev_per_atom": -0.406,
  "energy_ev_per_atom": -8.310
}

What did the second record say?
{
  "formula": "SrAlCu2As",
  "functional": "PBE-GGA",
  "state": "relaxed",
  "lattice_angstrom": [[-2.166, -3.896, 0.982], [3.555, -0.782, 4.738], [-2.961, 2.302, 2.602]],
  "species": ["Sr", "As", "Al", "Cu", "Cu"],
  "frac_coords": [[0.000, 0.500, 0.000], [0.500, 0.500, 0.500], [0.000, 0.000, 0.000], [0.000, 0.000, 0.500], [0.500, 0.000, 0.000]],
  "formation_energy_ev_per_atom": 0.385,
  "energy_ev_per_atom": -3.268
}